(1)
A plane-wave DFT calculation with PBE was carried out for a relaxed structure of Li2CuMo.

Geometry as extended XYZ:
```
4
Lattice="2.6318 0.0000 0.0000 0.0000 2.6318 0.0000 0.0000 0.0000 8.5073" Properties=species:S:1:pos:R:3 pbc="T T T"
Li 0.0000 0.0000 0.0000
Li 1.3159 1.3159 2.4196
Cu 1.3159 1.3159 6.6431
Mo 0.0000 0.0000 4.6452
```

Summary:
Total energy in eV per atom: -4.489
ΔE_f in meV per atom: 199
DOS(E_F) in states/eV per cell: 3.151

(2)
A plane-wave DFT calculation with PBE was carried out for a relaxed structure of TbSc4Al4.

Geometry as extended XYZ:
```
18
Lattice="8.5132 0.0000 0.0000 0.0000 8.5132 0.0000 0.0000 0.0000 5.4026" Properties=species:S:1:pos:R:3 pbc="T T T"
Tb 2.1283 2.1283 1.3506
Tb 6.3849 6.3849 4.0519
Sc 0.8169 6.9862 3.4738
Sc 1.5270 5.0735 0.7725
Sc 2.7296 7.6964 0.7725
Sc 3.4398 5.7836 3.4738
Sc 5.0735 2.7296 1.9287
Sc 5.7836 0.8169 4.6300
Sc 6.9862 3.4398 4.6300
Sc 7.6964 1.5270 1.9287
Al 0.3526 1.1950 4.5229
Al 1.1950 3.9040 3.5809
Al 3.0616 0.3526 3.5809
Al 3.9040 3.0616 4.5229
Al 4.6092 5.4516 0.8797
Al 5.4516 8.1606 1.8216
Al 7.3182 4.6092 1.8216
Al 8.1606 7.3182 0.8797
```

Summary:
Total energy in eV per atom: -5.171
ΔE_f in meV per atom: -179
DOS(E_F) in states/eV per cell: 13.255